(1)
Computed, not measured: AlCd2Mo at its PBEsol-relaxed geometry at the meta-GGA SCAN level of DFT.

Unit cell a=3.027 b=4.611 c=5.684 alpha=113.93 beta=105.44 gamma=90.00
Atoms (fractional coordinates):
1 Mo 0.500 0.000 0.000
2 Cd 0.749 0.749 0.498
3 Cd 0.251 0.251 0.502
4 Al 0.000 0.500 0.000

Results
- density (g cm⁻³) = 8.33
- DFT formation energy (eV per atom) = 0.24
- volume (Å³/f.u.) = 69
- DFT total energy (Ry per atom) = -1.8837
- total moment (μB/f.u.) = 0.00
- crystal system = orthorhombic

(2)
Computed, not measured: AlCd2Mo at its PBEsol-relaxed geometry at the meta-GGA SCAN level of DFT.

Unit cell a=3.250 b=3.250 c=6.685 alpha=90.00 beta=90.00 gamma=90.00
Atoms (fractional coordinates):
1 Mo 0.000 0.000 0.534
2 Cd 0.500 0.500 0.266
3 Cd 0.000 0.000 0.988
4 Al 0.500 0.500 0.712

Results
- density (g cm⁻³) = 8.18
- DFT formation energy (eV per atom) = 0.26
- volume (Å³/f.u.) = 71
- DFT total energy (Ry per atom) = -1.8821
- total moment (μB/f.u.) = 0.00
- crystal system = tetragonal

(3)
Computed, not measured: AlCd2Mo at its PBEsol-relaxed geometry at the meta-GGA SCAN level of DFT.

Unit cell a=2.803 b=4.320 c=5.930 alpha=90.00 beta=103.56 gamma=90.00
Atoms (fractional coordinates):
1 Mo 0.460 0.000 0.544
2 Cd 0.810 0.500 0.245
3 Cd 0.192 0.000 0.010
4 Al 0.038 0.500 0.701

Results
- density (g cm⁻³) = 8.27
- DFT formation energy (eV per atom) = 0.18
- volume (Å³/f.u.) = 70
- DFT total energy (Ry per atom) = -1.8881
- total moment (μB/f.u.) = 0.00
- crystal system = monoclinic

(4)
Computed, not measured: Al2CdReMo at its PBEsol-relaxed geometry at the meta-GGA SCAN level of DFT.

Unit cell a=4.578 b=4.578 c=4.988 alpha=90.00 beta=90.00 gamma=90.00
Last column: magnetic moment on the atom in μB.
Atoms (fractional coordinates):
1 Re 0.000 0.000 0.500  -1.94
2 Al 0.500 0.000 0.000  -0.02
3 Al 0.000 0.500 0.000  -0.02
4 Cd 0.000 0.000 0.000  0.01
5 Mo 0.500 0.500 0.500  3.12

Results
- density (g cm⁻³) = 7.13
- DFT formation energy (eV per atom) = 1.89
- volume (Å³/f.u.) = 105
- DFT total energy (Ry per atom) = -2.0937
- total moment (μB/f.u.) = 1.01
- crystal system = tetragonal

(5)
Computed, not measured: AlCdTe2N at its PBEsol-relaxed geometry at the meta-GGA SCAN level of DFT.

Unit cell a=4.004 b=5.680 c=5.680 alpha=90.00 beta=90.00 gamma=90.00
Last column: magnetic moment on the atom in μB.
Atoms (fractional coordinates):
1 Te 0.000 0.500 0.000  0.33
2 Te 0.000 0.000 0.500  0.33
3 N 0.500 0.000 0.000  1.16
4 Cd 0.000 0.000 0.000  0.05
5 Al 0.500 0.500 0.500  0.01

Results
- density (g cm⁻³) = 5.25
- formation energy (no corrections) (eV per atom) = 1.013
- volume (Å³/f.u.) = 129
- DFT total energy (Ry per atom) = -1.7183
- total moment (μB/f.u.) = 2.72
- crystal system = tetragonal

(6)
Computed, not measured: AlCd2Ni at its PBEsol-relaxed geometry at the meta-GGA SCAN level of DFT.

Unit cell a=4.012 b=4.012 c=4.879 alpha=114.28 beta=114.28 gamma=90.00
Atoms (fractional coordinates):
1 Al 0.250 0.750 0.500
2 Ni 0.500 0.500 0.000
3 Cd 0.750 0.250 0.500
4 Cd 0.000 0.000 0.000

Results
- density (g cm⁻³) = 8.07
- DFT formation energy (eV per atom) = 0.03
- volume (Å³/f.u.) = 64
- DFT total energy (Ry per atom) = -1.5552
- total moment (μB/f.u.) = 0.00
- crystal system = tetragonal

(7)
Computed, not measured: Al22CdO34 at its PBEsol-relaxed geometry at the meta-GGA SCAN level of DFT.

Unit cell a=9.711 b=11.244 c=11.675 alpha=90.00 beta=105.37 gamma=90.00
Atoms (fractional coordinates):
1 O 0.201 0.750 0.113
2 O 0.409 0.501 0.714
3 O 0.688 0.250 0.099
4 O 0.157 0.626 0.707
5 O 0.097 0.250 0.286
6 O 0.339 0.132 0.300
7 O 0.046 0.117 0.899
8 O 0.204 0.250 0.109
9 O 0.339 0.368 0.300
10 O 0.160 0.123 0.711
11 O 0.545 0.134 0.899
12 O 0.954 0.617 0.101
13 O 0.589 0.250 0.284
14 O 0.190 0.497 0.100
15 O 0.092 0.750 0.296
16 O 0.451 0.367 0.100
17 O 0.545 0.366 0.899
18 O 0.796 0.750 0.891
19 O 0.549 0.867 0.900
20 O 0.451 0.133 0.100
21 O 0.702 0.498 0.110
22 O 0.160 0.377 0.711
23 O 0.810 0.503 0.900
24 O 0.591 0.001 0.286
25 O 0.091 0.002 0.284
26 O 0.840 0.623 0.289
27 O 0.908 0.250 0.704
28 O 0.047 0.618 0.901
29 O 0.406 0.250 0.706
30 O 0.840 0.877 0.289
31 O 0.953 0.118 0.099
32 O 0.313 0.250 0.898
33 O 0.687 0.750 0.102
34 O 0.091 0.498 0.284
35 O 0.298 0.502 0.890
36 O 0.591 0.499 0.286
37 O 0.549 0.633 0.900
38 O 0.157 0.874 0.707
39 O 0.411 0.750 0.716
40 O 0.843 0.126 0.293
41 O 0.500 0.000 0.500
42 O 0.843 0.374 0.293
43 O 0.047 0.882 0.901
44 O 0.312 0.750 0.901
45 O 0.909 0.998 0.716
46 O 0.594 0.750 0.294
47 O 0.953 0.382 0.099
48 O 0.298 0.998 0.890
49 O 0.909 0.502 0.716
50 O 0.954 0.883 0.101
51 O 0.903 0.750 0.714
52 O 0.661 0.632 0.700
53 O 0.702 0.002 0.110
54 O 0.341 0.875 0.288
55 O 0.409 0.999 0.714
56 O 0.341 0.625 0.288
57 O 0.059 0.250 0.498
58 O 0.799 0.250 0.887
59 O 0.810 0.997 0.900
60 O 0.455 0.866 0.101
61 O 0.659 0.375 0.712
62 O 0.941 0.750 0.502
63 O 0.659 0.125 0.712
64 O 0.500 0.500 0.500
65 O 0.190 0.003 0.100
66 O 0.046 0.383 0.899
67 O 0.455 0.634 0.101
68 O 0.661 0.868 0.700
69 Al 0.150 0.627 0.218
70 Al 0.850 0.127 0.782
71 Al 0.349 0.123 0.786
72 Al 0.000 0.000 0.000
73 Al 0.349 0.377 0.786
74 Al 0.554 0.500 0.649
75 Al 0.850 0.373 0.782
76 Al 0.939 0.750 0.352
77 Al 0.150 0.250 0.946
78 Al 0.850 0.876 0.793
79 Al 0.651 0.877 0.214
80 Al 0.346 0.875 0.784
81 Al 0.501 0.750 0.999
82 Al 0.949 0.250 0.352
83 Al 0.351 0.998 0.051
84 Al 0.850 0.750 0.054
85 Al 0.649 0.498 0.949
86 Al 0.099 0.501 0.784
87 Al 0.051 0.750 0.648
88 Al 0.446 0.500 0.351
89 Al 0.554 0.000 0.649
90 Al 0.651 0.623 0.214
91 Al 0.150 0.124 0.207
92 Al 0.446 0.000 0.351
93 Al 0.599 0.750 0.787
94 Al 0.401 0.250 0.213
95 Al 0.654 0.375 0.216
96 Al 0.099 0.999 0.784
97 Al 0.061 0.250 0.648
98 Al 0.654 0.125 0.216
99 Al 0.150 0.376 0.207
100 Al 0.152 0.750 0.952
101 Al 0.850 0.624 0.793
102 Al 0.400 0.750 0.216
103 Al 0.346 0.625 0.784
104 Al 0.499 0.250 0.001
105 Al 0.000 0.500 0.000
106 Al 0.649 0.002 0.949
107 Al 0.848 0.250 0.048
108 Al 0.150 0.873 0.218
109 Al 0.351 0.502 0.051
110 Al 0.600 0.250 0.784
111 Al 0.901 0.499 0.216
112 Al 0.901 0.001 0.216
113 Cd 0.720 0.750 0.537
114 Cd 0.280 0.250 0.463

Results
- density (g cm⁻³) = 3.38
- formation energy (no corrections) (eV per atom) = -3.239
- volume (Å³/f.u.) = 615
- DFT total energy (Ry per atom) = -0.7704
- total moment (μB/f.u.) = 0.07
- crystal system = monoclinic

(8)
Computed, not measured: AlCdSnO2 at its PBEsol-relaxed geometry at the meta-GGA SCAN level of DFT.

Unit cell a=4.127 b=4.127 c=5.555 alpha=90.00 beta=90.00 gamma=90.00
Last column: magnetic moment on the atom in μB.
Atoms (fractional coordinates):
1 Al 0.500 0.500 0.500  0.00
2 O 0.500 0.000 0.000  0.15
3 O 0.000 0.500 0.000  0.15
4 Cd 0.000 0.000 0.000  0.01
5 Sn 0.000 0.000 0.500  0.01

Results
- density (g cm⁻³) = 5.09
- formation energy (no corrections) (eV per atom) = 0.275
- volume (Å³/f.u.) = 95
- DFT total energy (Ry per atom) = -1.2521
- total moment (μB/f.u.) = 0.35
- crystal system = tetragonal